{"formula": "Pm2MgGe", "functional": "PBE-GGA", "state": "relaxed", "space_group": "R-3m (166)", "dos_ef_per_ev_atom": 0.849, "lattice": [[2.0418, 1.1789, 10.2882], [-2.0418, 1.1789, 10.2882], [0.0000, -2.3577, 10.2882]], "species": ["Pm", "Pm", "Mg", "Ge"], "fractional_positions": [[0.1131, 0.1131, 0.1131], [0.8869, 0.8869, 0.8869], [0.0000, 0.0000, 0.0000], [0.5000, 0.5000, 0.5000]]}



{"formula": "PmMgGe2", "functional": "PBE-GGA", "state": "relaxed", "space_group": "Pnma (62)", "dos_ef_per_ev_atom": 0.374, "lattice": [[8.1437, 0.0000, 0.0000], [0.0000, 3.9582, 0.0000], [0.0000, 0.0000, 10.9551]], "species": ["Pm", "Pm", "Pm", "Pm", "Mg", "Mg", "Mg", "Mg", "Ge", "Ge", "Ge", "Ge", "Ge", "Ge", "Ge", "Ge"], "fractional_positions": [[0.1225, 0.2500, 0.1459], [0.3775, 0.7500, 0.6459], [0.6225, 0.2500, 0.3541], [0.8775, 0.7500, 0.8541], [0.0122, 0.7500, 0.3951], [0.4878, 0.2500, 0.8951], [0.5122, 0.7500, 0.1049], [0.9878, 0.2500, 0.6049], [0.1675, 0.2500, 0.8073], [0.2485, 0.7500, 0.9499], [0.2515, 0.2500, 0.4499], [0.3325, 0.7500, 0.3073], [0.6675, 0.2500, 0.6927], [0.7485, 0.7500, 0.5501], [0.7515, 0.2500, 0.0501], [0.8325, 0.7500, 0.1927]]}



{"formula": "PmMgGe2", "functional": "PBE-GGA", "state": "relaxed", "space_group": "P4/mmm (123)", "dos_ef_per_ev_atom": 0.541, "lattice": [[3.6092, 0.0000, 0.0000], [0.0000, 3.6092, 0.0000], [0.0000, 0.0000, 6.6013]], "species": ["Pm", "Mg", "Ge", "Ge"], "fractional_positions": [[0.0000, 0.0000, 0.0000], [0.0000, 0.0000, 0.5000], [0.5000, 0.5000, 0.2941], [0.5000, 0.5000, 0.7059]]}



{"formula": "Pm3Mg2Ge4", "functional": "PBE-GGA", "state": "relaxed", "space_group": "C2/m (12)", "dos_ef_per_ev_atom": 0.504, "lattice": [[5.4925, -2.1381, 0.0000], [5.4925, 2.1381, 0.0000], [-0.7508, 0.0000, 9.0124]], "species": ["Pm", "Pm", "Pm", "Mg", "Mg", "Ge", "Ge", "Ge", "Ge"], "fractional_positions": [[0.0000, 0.0000, 0.0000], [0.3682, 0.3682, 0.6151], [0.6318, 0.6318, 0.3849], [0.3293, 0.3293, 0.2298], [0.6707, 0.6707, 0.7702], [0.0755, 0.0755, 0.6188], [0.3007, 0.3007, 0.9266], [0.6993, 0.6993, 0.0734], [0.9245, 0.9245, 0.3812]]}



{"formula": "Pm5Mg2Ge4", "functional": "PBE-GGA", "state": "relaxed", "space_group": "C2/m (12)", "dos_ef_per_ev_atom": 0.951, "lattice": [[10.3349, -2.1188, 0.0000], [10.3349, 2.1188, 0.0000], [-2.5102, 0.0000, 6.7868]], "species": ["Pm", "Pm", "Pm", "Pm", "Pm", "Mg", "Mg", "Ge", "Ge", "Ge", "Ge"], "fractional_positions": [[0.0000, 0.0000, 0.0000], [0.3362, 0.3362, 0.0690], [0.3363, 0.3363, 0.6015], [0.6637, 0.6637, 0.3985], [0.6638, 0.6638, 0.9310], [0.0722, 0.0722, 0.5753], [0.9278, 0.9278, 0.4247], [0.2085, 0.2085, 0.7088], [0.5002, 0.5002, 0.3053], [0.4998, 0.4998, 0.6947], [0.7915, 0.7915, 0.2912]]}



{"formula": "PmMgGe", "functional": "PBE-GGA", "state": "relaxed", "relative_energy_mev_per_atom": 153, "space_group": "P3m1 (156)", "dos_ef_per_ev_atom": 0.727, "lattice": [[4.4746, 0.0000, 0.0000], [-2.2373, 3.8751, 0.0000], [0.0000, 0.0000, 4.1770]], "species": ["Pm", "Mg", "Ge"], "fractional_positions": [[0.0000, 0.0000, 0.0000], [0.6667, 0.3333, 0.5003], [0.3333, 0.6667, 0.4987]]}



{"formula": "PmMg2Ge", "functional": "PBE-GGA", "state": "relaxed", "relative_energy_mev_per_atom": 8, "space_group": "P4/nmm (129)", "dos_ef_per_ev_atom": 0.923, "lattice": [[4.1872, 0.0000, 0.0000], [0.0000, 4.1872, 0.0000], [0.0000, 0.0000, 11.0280]], "species": ["Pm", "Pm", "Mg", "Mg", "Mg", "Mg", "Ge", "Ge"], "fractional_positions": [[0.2500, 0.2500, 0.2496], [0.7500, 0.7500, 0.7504], [0.2500, 0.2500, 0.5626], [0.2500, 0.7500, 0.0000], [0.7500, 0.2500, 0.0000], [0.7500, 0.7500, 0.4374], [0.2500, 0.2500, 0.8262], [0.7500, 0.7500, 0.1738]]}



{"formula": "PmMg2Ge", "functional": "PBE-GGA", "state": "relaxed", "relative_energy_mev_per_atom": 0, "space_group": "P4/mmm (123)", "dos_ef_per_ev_atom": 0.231, "lattice": [[4.3842, 0.0000, 0.0000], [0.0000, 4.3842, 0.0000], [0.0000, 0.0000, 4.8094]], "species": ["Pm", "Mg", "Mg", "Ge"], "fractional_positions": [[0.0000, 0.0000, 0.0000], [0.0000, 0.5000, 0.5000], [0.5000, 0.0000, 0.5000], [0.5000, 0.5000, 0.0000]]}



{"formula": "Pm3MgGe2", "functional": "PBE-GGA", "state": "relaxed", "space_group": "C2/m (12)", "dos_ef_per_ev_atom": 0.855, "lattice": [[8.1012, -2.1982, 0.0000], [8.1012, 2.1982, 0.0000], [-5.0418, 0.0000, 9.9457]], "species": ["Pm", "Pm", "Pm", "Pm", "Pm", "Pm", "Mg", "Mg", "Ge", "Ge", "Ge", "Ge"], "fractional_positions": [[0.0500, 0.0500, 0.2393], [0.2257, 0.2257, 0.6271], [0.3585, 0.3585, 0.9965], [0.6415, 0.6415, 0.0035], [0.7743, 0.7743, 0.3729], [0.9500, 0.9500, 0.7607], [0.4280, 0.4280, 0.3418], [0.5720, 0.5720, 0.6582], [0.1491, 0.1491, 0.8278], [0.3812, 0.3812, 0.5546], [0.6188, 0.6188, 0.4454], [0.8509, 0.8509, 0.1722]]}



{"formula": "Pm2MgGe", "functional": "PBE-GGA", "state": "relaxed", "space_group": "P4/mmm (123)", "dos_ef_per_ev_atom": 0.653, "lattice": [[4.9803, 0.0000, 0.0000], [0.0000, 4.9803, 0.0000], [0.0000, 0.0000, 4.1548]], "species": ["Pm", "Pm", "Mg", "Ge"], "fractional_positions": [[0.0000, 0.5000, 0.0000], [0.5000, 0.0000, 0.0000], [0.0000, 0.0000, 0.5000], [0.5000, 0.5000, 0.5000]]}



{"formula": "Pm2MgGe3", "functional": "PBE-GGA", "state": "relaxed", "relative_energy_mev_per_atom": 0, "space_group": "Pnma (62)", "dos_ef_per_ev_atom": 0.181, "lattice": [[6.9213, 0.0000, 0.0000], [0.0000, 4.3961, 0.0000], [0.0000, 0.0000, 18.5879]], "species": ["Pm", "Pm", "Pm", "Pm", "Pm", "Pm", "Pm", "Pm", "Mg", "Mg", "Mg", "Mg", "Ge", "Ge", "Ge", "Ge", "Ge", "Ge", "Ge", "Ge", "Ge", "Ge", "Ge", "Ge"], "fractional_positions": [[0.1661, 0.2500, 0.0844], [0.1848, 0.2500, 0.2985], [0.3152, 0.7500, 0.7985], [0.3339, 0.7500, 0.5844], [0.6661, 0.2500, 0.4156], [0.6848, 0.2500, 0.2015], [0.8152, 0.7500, 0.7015], [0.8339, 0.7500, 0.9156], [0.0549, 0.7500, 0.4398], [0.4451, 0.2500, 0.9398], [0.5549, 0.7500, 0.0602], [0.9451, 0.2500, 0.5602], [0.0074, 0.2500, 0.8176], [0.1358, 0.2500, 0.6888], [0.2412, 0.7500, 0.9683], [0.2588, 0.2500, 0.4683], [0.3642, 0.7500, 0.1888], [0.4926, 0.7500, 0.3176], [0.5074, 0.2500, 0.6824], [0.6358, 0.2500, 0.8112], [0.7412, 0.7500, 0.5317], [0.7588, 0.2500, 0.0317], [0.8642, 0.7500, 0.3112], [0.9926, 0.7500, 0.1824]]}



{"formula": "PmMgGe", "functional": "PBE-GGA", "state": "relaxed", "relative_energy_mev_per_atom": 178, "space_group": "F-43m (216)", "dos_ef_per_ev_atom": 0.485, "lattice": [[0.0000, 3.3813, 3.3813], [3.3813, 0.0000, 3.3813], [3.3813, 3.3813, 0.0000]], "species": ["Pm", "Mg", "Ge"], "fractional_positions": [[0.0000, 0.0000, 0.0000], [0.5000, 0.5000, 0.5000], [0.2500, 0.2500, 0.2500]]}



| no. | E_form (meV/atom) |
| --- | --- |
| 1 | -49 |
| 2 | -526 |
| 3 | -378 |
| 4 | -598 |
| 5 | -465 |
| 6 | -512 |
| 7 | -380 |
| 8 | -389 |
| 9 | -459 |
| 10 | -405 |
| 11 | -681 |
| 12 | -487 |